First-principles (meta-GGA SCAN) data for CaTa2Cd at its PBEsol-relaxed geometry, as listed in Alexandria via LeMat-Bulk.

Geometry as CIF:
```
data_CaTa2Cd
_symmetry_space_group_name_H-M 'P 4/m m m'
_symmetry_Int_Tables_number 123
_symmetry_space_group_name_Hall '-P 4 2'
_cell_length_a 2.827
_cell_length_b 2.827
_cell_length_c 10.088
_cell_angle_alpha 90.00
_cell_angle_beta 90.00
_cell_angle_gamma 90.00
loop_
_atom_site_label
_atom_site_fract_x
_atom_site_fract_y
_atom_site_fract_z
Ca1 0.000 0.000 0.000
Ta1 0.500 0.500 0.270
Cd1 0.000 0.000 0.500
```

Output
Formation energy from the elements (meV/atom): 621
Volume (Å³/cell): 81
Total DFT energy (no corrections) (eV per atom): -42.69
Calculated density (g cm⁻³): 10.6